Crystalline KMg3V3CuO12 at its relaxed geometry, computed with PBE+U.

The total moment is 1.00 μB per formula unit. The raw total energy comes out at -6.67 eV per atom.

Cell lengths 12.292, 12.870, 6.958 Å; angles 90.00, 111.41, 90.00 degrees
Space group C2/c (No. 15)
One atom of each set of equivalent atoms:
K (0.000, 0.015, 0.250) [4 per cell]
Mg (0.000, 0.259, 0.750) [4 per cell]
Mg (0.214, 0.161, 0.623) [8 per cell]
V (0.000, 0.289, 0.250) [4 per cell]
V (0.236, 0.117, 0.121) [8 per cell]
Cu (0.000, 0.497, 0.250) [4 per cell]
O (0.036, 0.216, 0.478) [8 per cell]
O (0.109, 0.381, 0.270) [8 per cell]
O (0.112, 0.391, 0.824) [8 per cell]
O (0.159, 0.172, 0.877) [8 per cell]
O (0.178, 0.005, 0.611) [8 per cell]
O (0.214, 0.187, 0.321) [8 per cell]